1.
## TmBe17Co (PBE-GGA)

Data for a relaxed structure of TmBe17Co.

The structure in CIF format:
```
data_TmBe17Co
_cell_length_a 7.4482
_cell_length_b 7.4482
_cell_length_c 10.8397
_cell_angle_alpha 90.00
_cell_angle_beta 90.00
_cell_angle_gamma 120.00
_symmetry_space_group_name_H-M 'R 3 m'
_symmetry_Int_Tables_number 160
_symmetry_space_group_name_Hall 'R 3 -2"'
loop_
_atom_site_label
_atom_site_type_symbol
_atom_site_fract_x
_atom_site_fract_y
_atom_site_fract_z
_atom_site_occupancy
Tm1 Tm 0.0000 0.0000 0.0000 1
Be1 Be 0.0000 0.0000 0.5574 1
Be2 Be 0.0000 0.0000 0.7517 1
Be3 Be 0.0425 0.3664 0.3245 1
Be4 Be 0.1708 0.3417 0.4936 1
Be5 Be 0.1720 0.3440 0.8374 1
Be6 Be 0.1771 0.3542 0.1403 1
Co1 Co 0.0000 0.0000 0.3446 1
```

Computed properties:
E_form (eV per atom): -0.0627
N(E_F) (states/eV/f.u.): 6.04
Uncorrected energy (eV/atom): -4.006

=====

2.
## Tm2Be15Co2 (PBE-GGA)

Data for a relaxed structure of Tm2Be15Co2.

The structure in CIF format:
```
data_Tm2Be15Co2
_cell_length_a 7.7573
_cell_length_b 7.7573
_cell_length_c 11.1495
_cell_angle_alpha 90.00
_cell_angle_beta 90.00
_cell_angle_gamma 120.00
_symmetry_space_group_name_H-M 'R -3 m'
_symmetry_Int_Tables_number 166
_symmetry_space_group_name_Hall '-R 3 2"'
loop_
_atom_site_label
_atom_site_type_symbol
_atom_site_fract_x
_atom_site_fract_y
_atom_site_fract_z
_atom_site_occupancy
Tm1 Tm 0.0000 0.0000 0.1590 1
Be1 Be 0.0000 0.2759 0.5000 1
Be2 Be 0.0000 0.5000 0.0000 1
Be3 Be 0.0093 0.5047 0.3414 1
Co1 Co 0.0000 0.0000 0.3983 1
```

Computed properties:
E_form (eV per atom): -0.1976
N(E_F) (states/eV/f.u.): 6.79
Uncorrected energy (eV/atom): -4.358

=====

3.
## TmBeCo (PBE-GGA)

Data for a relaxed structure of TmBeCo.

The structure in CIF format:
```
data_TmBeCo
_cell_length_a 3.7702
_cell_length_b 3.7702
_cell_length_c 3.8002
_cell_angle_alpha 90.00
_cell_angle_beta 90.00
_cell_angle_gamma 120.00
_symmetry_space_group_name_H-M 'P -6 m 2'
_symmetry_Int_Tables_number 187
_symmetry_space_group_name_Hall 'P -6 2'
loop_
_atom_site_label
_atom_site_type_symbol
_atom_site_fract_x
_atom_site_fract_y
_atom_site_fract_z
_atom_site_occupancy
Tm1 Tm 0.0000 0.0000 0.0000 1
Be1 Be 0.3333 0.6667 0.5000 1
Co1 Co 0.6667 0.3333 0.5000 1
```

Computed properties:
E_form (eV per atom): -0.1955
N(E_F) (states/eV/f.u.): 1.97
Uncorrected energy (eV/atom): -5.297

=====

4.
## TmBe2Co3 (PBE-GGA)

Data for a relaxed structure of TmBe2Co3.

The structure in CIF format:
```
data_TmBe2Co3
_cell_length_a 4.9122
_cell_length_b 4.9122
_cell_length_c 3.4651
_cell_angle_alpha 90.00
_cell_angle_beta 90.00
_cell_angle_gamma 120.00
_symmetry_space_group_name_H-M 'P 6/m m m'
_symmetry_Int_Tables_number 191
_symmetry_space_group_name_Hall '-P 6 2'
loop_
_atom_site_label
_atom_site_type_symbol
_atom_site_fract_x
_atom_site_fract_y
_atom_site_fract_z
_atom_site_occupancy
Tm1 Tm 0.0000 0.0000 0.0000 1
Be1 Be 0.3333 0.6667 0.0000 1
Co1 Co 0.0000 0.5000 0.5000 1
```

Computed properties:
E_form (eV per atom): -0.2976
N(E_F) (states/eV/f.u.): 7.10
Uncorrected energy (eV/atom): -5.838

=====

5.
## TmBeCo4 (PBE-GGA)

Data for a relaxed structure of TmBeCo4.

The structure in CIF format:
```
data_TmBeCo4
_cell_length_a 6.805
_cell_length_b 6.805
_cell_length_c 6.805
_cell_angle_alpha 90.00
_cell_angle_beta 90.00
_cell_angle_gamma 90.00
_symmetry_space_group_name_H-M 'F -4 3 m'
_symmetry_Int_Tables_number 216
_symmetry_space_group_name_Hall 'F -4 2 3'
loop_
_atom_site_label
_atom_site_type_symbol
_atom_site_fract_x
_atom_site_fract_y
_atom_site_fract_z
_atom_site_occupancy
Tm1 Tm 0.000 0.000 0.000 1
Be1 Be 0.250 0.250 0.250 1
Co1 Co 0.124 0.124 0.624 1
```

Computed properties:
E_form (eV per atom): -0.0416
N(E_F) (states/eV/f.u.): 7.74
Uncorrected energy (eV/atom): -6.145

=====

6.
## TmBeCo (PBE-GGA)

Data for a relaxed structure of TmBeCo.

The structure in CIF format:
```
data_TmBeCo
_cell_length_a 4.972
_cell_length_b 7.031
_cell_length_c 5.364
_cell_angle_alpha 90.00
_cell_angle_beta 90.00
_cell_angle_gamma 90.00
_symmetry_space_group_name_H-M 'C m c m'
_symmetry_Int_Tables_number 63
_symmetry_space_group_name_Hall '-C 2c 2'
loop_
_atom_site_label
_atom_site_type_symbol
_atom_site_fract_x
_atom_site_fract_y
_atom_site_fract_z
_atom_site_occupancy
Tm1 Tm 0.000 0.152 0.250 1
Be1 Be 0.000 0.243 0.750 1
Co1 Co 0.000 0.500 0.000 1
```

Computed properties:
E_form (eV per atom): 0.0914
N(E_F) (states/eV/f.u.): 2.26
Uncorrected energy (eV/atom): -5.010

=====

7.
## TmBe3Co (PBE-GGA)

Data for a relaxed structure of TmBe3Co.

The structure in CIF format:
```
data_TmBe3Co
_cell_length_a 4.040
_cell_length_b 4.040
_cell_length_c 4.040
_cell_angle_alpha 90.00
_cell_angle_beta 90.00
_cell_angle_gamma 90.00
_symmetry_space_group_name_H-M 'P m -3 m'
_symmetry_Int_Tables_number 221
_symmetry_space_group_name_Hall '-P 4 2 3'
loop_
_atom_site_label
_atom_site_type_symbol
_atom_site_fract_x
_atom_site_fract_y
_atom_site_fract_z
_atom_site_occupancy
Tm1 Tm 0.000 0.000 0.000 1
Be1 Be 0.000 0.500 0.500 1
Co1 Co 0.500 0.500 0.500 1
```

Computed properties:
E_form (eV per atom): -0.0847
N(E_F) (states/eV/f.u.): 2.16
Uncorrected energy (eV/atom): -4.636

=====

8.
## TmBeCo (PBE-GGA)

Data for a relaxed structure of TmBeCo.

The structure in CIF format:
```
data_TmBeCo
_cell_length_a 3.941
_cell_length_b 3.941
_cell_length_c 6.165
_cell_angle_alpha 90.00
_cell_angle_beta 90.00
_cell_angle_gamma 90.00
_symmetry_space_group_name_H-M 'P 4/n m m'
_symmetry_Int_Tables_number 129
loop_
_symmetry_equiv_pos_as_xyz
'x,y,z'
'-x,-y,-z'
'-y+1/2,x,z'
'y+1/2,-x,-z'
'-x+1/2,-y+1/2,z'
'x+1/2,y+1/2,-z'
'y,-x+1/2,z'
'-y,x+1/2,-z'
'x+1/2,-y,-z'
'-x+1/2,y,z'
'-y,-x,-z'
'y,x,z'
'-x,y+1/2,-z'
'x,-y+1/2,z'
'y+1/2,x+1/2,-z'
'-y+1/2,-x+1/2,z'
loop_
_atom_site_label
_atom_site_type_symbol
_atom_site_fract_x
_atom_site_fract_y
_atom_site_fract_z
_atom_site_occupancy
Tm1 Tm 0.250 0.250 0.191 1
Be1 Be 0.250 0.250 0.658 1
Co1 Co 0.250 0.750 0.500 1
```

Computed properties:
E_form (eV per atom): -0.2632
N(E_F) (states/eV/f.u.): 1.22
Uncorrected energy (eV/atom): -5.364

=====

9.
## TmBeCo3 (PBE-GGA)

Data for a relaxed structure of TmBeCo3.

The structure in CIF format:
```
data_TmBeCo3
_cell_length_a 4.454
_cell_length_b 16.399
_cell_length_c 4.216
_cell_angle_alpha 90.00
_cell_angle_beta 90.00
_cell_angle_gamma 90.00
_symmetry_space_group_name_H-M 'C m c m'
_symmetry_Int_Tables_number 63
_symmetry_space_group_name_Hall '-C 2c 2'
loop_
_atom_site_label
_atom_site_type_symbol
_atom_site_fract_x
_atom_site_fract_y
_atom_site_fract_z
_atom_site_occupancy
Tm1 Tm 0.000 0.100 0.250 1
Be1 Be 0.000 0.385 0.250 1
Co1 Co 0.000 0.500 0.000 1
Co2 Co 0.246 0.225 0.750 1
```

Computed properties:
E_form (eV per atom): 0.1911
N(E_F) (states/eV/f.u.): 4.16
Uncorrected energy (eV/atom): -5.712

=====

10.
## YTmBeCo (PBE-GGA)

Data for a relaxed structure of YTmBeCo.

The structure in CIF format:
```
data_YTmBeCo
_cell_length_a 6.697
_cell_length_b 6.697
_cell_length_c 6.697
_cell_angle_alpha 90.00
_cell_angle_beta 90.00
_cell_angle_gamma 90.00
_symmetry_space_group_name_H-M 'F -4 3 m'
_symmetry_Int_Tables_number 216
_symmetry_space_group_name_Hall 'F -4 2 3'
loop_
_atom_site_label
_atom_site_type_symbol
_atom_site_fract_x
_atom_site_fract_y
_atom_site_fract_z
_atom_site_occupancy
Y1 Y 0.000 0.000 0.000 1
Tm1 Tm 0.000 0.000 0.500 1
Be1 Be 0.250 0.250 0.250 1
Co1 Co 0.250 0.250 0.750 1
```

Computed properties:
E_form (eV per atom): -0.0523
N(E_F) (states/eV/f.u.): 2.53
Uncorrected energy (eV/atom): -5.494

=====

11.
## TmZrBeCo (PBE-GGA)

Data for a relaxed structure of TmZrBeCo.

The structure in CIF format:
```
data_TmZrBeCo
_cell_length_a 6.507
_cell_length_b 6.507
_cell_length_c 6.507
_cell_angle_alpha 90.00
_cell_angle_beta 90.00
_cell_angle_gamma 90.00
_symmetry_space_group_name_H-M 'F -4 3 m'
_symmetry_Int_Tables_number 216
_symmetry_space_group_name_Hall 'F -4 2 3'
loop_
_atom_site_label
_atom_site_type_symbol
_atom_site_fract_x
_atom_site_fract_y
_atom_site_fract_z
_atom_site_occupancy
Tm1 Tm 0.000 0.000 0.000 1
Zr1 Zr 0.000 0.000 0.500 1
Be1 Be 0.250 0.250 0.250 1
Co1 Co 0.250 0.250 0.750 1
```

Computed properties:
E_form (eV per atom): -0.0759
N(E_F) (states/eV/f.u.): 3.12
Uncorrected energy (eV/atom): -6.039

=====

12.
## UBeCo6 (PBE-GGA)

Data for a relaxed structure of UBeCo6.

The structure in CIF format:
```
data_UBeCo6
_cell_length_a 7.192
_cell_length_b 7.201
_cell_length_c 3.618
_cell_angle_alpha 90.00
_cell_angle_beta 90.00
_cell_angle_gamma 90.00
_symmetry_space_group_name_H-M 'C m m m'
_symmetry_Int_Tables_number 65
_symmetry_space_group_name_Hall '-C 2 2'
loop_
_atom_site_label
_atom_site_type_symbol
_atom_site_fract_x
_atom_site_fract_y
_atom_site_fract_z
_atom_site_occupancy
U1 U 0.000 0.000 0.000 1
Be1 Be 0.000 0.500 0.000 1
Co1 Co 0.000 0.266 0.500 1
Co2 Co 0.233 0.500 0.500 1
Co3 Co 0.250 0.250 0.000 1
```

Computed properties:
E_form (eV per atom): -0.0813
N(E_F) (states/eV/f.u.): 9.56
Uncorrected energy (eV/atom): -7.287

=====

13.
## U2BeCo9 (PBE-GGA)

Data for a relaxed structure of U2BeCo9.

The structure in CIF format:
```
data_U2BeCo9
_cell_length_a 3.760
_cell_length_b 3.760
_cell_length_c 10.335
_cell_angle_alpha 90.00
_cell_angle_beta 90.00
_cell_angle_gamma 90.00
_symmetry_space_group_name_H-M 'P 4/m m m'
_symmetry_Int_Tables_number 123
_symmetry_space_group_name_Hall '-P 4 2'
loop_
_atom_site_label
_atom_site_type_symbol
_atom_site_fract_x
_atom_site_fract_y
_atom_site_fract_z
_atom_site_occupancy
U1 U 0.000 0.000 0.182 1
Be1 Be 0.000 0.000 0.500 1
Co1 Co 0.000 0.500 0.000 1
Co2 Co 0.000 0.500 0.360 1
Co3 Co 0.500 0.500 0.180 1
Co4 Co 0.500 0.500 0.500 1
```

Computed properties:
E_form (eV per atom): -0.1799
N(E_F) (states/eV/f.u.): 8.64
Uncorrected energy (eV/atom): -7.701

=====

14.
## U2BeCo3 (PBE-GGA)

Data for a relaxed structure of U2BeCo3.

The structure in CIF format:
```
data_U2BeCo3
_cell_length_a 5.0420
_cell_length_b 5.0420
_cell_length_c 11.0179
_cell_angle_alpha 90.00
_cell_angle_beta 90.00
_cell_angle_gamma 120.00
_symmetry_space_group_name_H-M 'R -3 m'
_symmetry_Int_Tables_number 166
_symmetry_space_group_name_Hall '-R 3 2"'
loop_
_atom_site_label
_atom_site_type_symbol
_atom_site_fract_x
_atom_site_fract_y
_atom_site_fract_z
_atom_site_occupancy
U1 U 0.0000 0.0000 0.1250 1
Be1 Be 0.0000 0.0000 0.5000 1
Co1 Co 0.0000 0.5000 0.0000 1
```

Computed properties:
E_form (eV per atom): -0.2510
N(E_F) (states/eV/f.u.): 9.33
Uncorrected energy (eV/atom): -8.188

=====

15.
## BeVCo4 (PBE-GGA)

Data for a relaxed structure of BeVCo4.

The structure in CIF format:
```
data_BeVCo4
_cell_length_a 3.7918
_cell_length_b 3.7918
_cell_length_c 16.9953
_cell_angle_alpha 90.00
_cell_angle_beta 90.00
_cell_angle_gamma 120.00
_symmetry_space_group_name_H-M 'R -3 m'
_symmetry_Int_Tables_number 166
_symmetry_space_group_name_Hall '-R 3 2"'
loop_
_atom_site_label
_atom_site_type_symbol
_atom_site_fract_x
_atom_site_fract_y
_atom_site_fract_z
_atom_site_occupancy
Be1 Be 0.0000 0.0000 0.0000 1
V1 V 0.0000 0.0000 0.5000 1
Co1 Co 0.0000 0.0000 0.1215 1
Co2 Co 0.0000 0.0000 0.3592 1
```

Computed properties:
E_form (eV per atom): 0.3050
N(E_F) (states/eV/f.u.): 6.61
Uncorrected energy (eV/atom): -6.573

=====

16.
## Be3VCo4 (PBE-GGA)

Data for a relaxed structure of Be3VCo4.

The structure in CIF format:
```
data_Be3VCo4
_cell_length_a 3.765
_cell_length_b 3.765
_cell_length_c 5.351
_cell_angle_alpha 90.00
_cell_angle_beta 90.00
_cell_angle_gamma 90.00
_symmetry_space_group_name_H-M 'P 4/m m m'
_symmetry_Int_Tables_number 123
_symmetry_space_group_name_Hall '-P 4 2'
loop_
_atom_site_label
_atom_site_type_symbol
_atom_site_fract_x
_atom_site_fract_y
_atom_site_fract_z
_atom_site_occupancy
Be1 Be 0.000 0.000 0.000 1
Be2 Be 0.000 0.000 0.500 1
Be3 Be 0.500 0.500 0.000 1
V1 V 0.500 0.500 0.500 1
Co1 Co 0.000 0.500 0.239 1
```

Computed properties:
E_form (eV per atom): -0.3603
N(E_F) (states/eV/f.u.): 2.42
Uncorrected energy (eV/atom): -6.450

=====

17.
## Be2VCo (PBE-GGA)

Data for a relaxed structure of Be2VCo.

The structure in CIF format:
```
data_Be2VCo
_cell_length_a 5.377
_cell_length_b 5.377
_cell_length_c 5.377
_cell_angle_alpha 90.00
_cell_angle_beta 90.00
_cell_angle_gamma 90.00
_symmetry_space_group_name_H-M 'F m -3 m'
_symmetry_Int_Tables_number 225
_symmetry_space_group_name_Hall '-F 4 2 3'
loop_
_atom_site_label
_atom_site_type_symbol
_atom_site_fract_x
_atom_site_fract_y
_atom_site_fract_z
_atom_site_occupancy
Be1 Be 0.250 0.250 0.250 1
V1 V 0.000 0.000 0.000 1
Co1 Co 0.000 0.000 0.500 1
```

Computed properties:
E_form (eV per atom): -0.1109
N(E_F) (states/eV/f.u.): 3.77
Uncorrected energy (eV/atom): -6.030

=====

18.
## Be17VCo (PBE-GGA)

Data for a relaxed structure of Be17VCo.

The structure in CIF format:
```
data_Be17VCo
_cell_length_a 7.1671
_cell_length_b 7.1671
_cell_length_c 10.5877
_cell_angle_alpha 90.00
_cell_angle_beta 90.00
_cell_angle_gamma 120.00
_symmetry_space_group_name_H-M 'R 3 m'
_symmetry_Int_Tables_number 160
_symmetry_space_group_name_Hall 'R 3 -2"'
loop_
_atom_site_label
_atom_site_type_symbol
_atom_site_fract_x
_atom_site_fract_y
_atom_site_fract_z
_atom_site_occupancy
Be1 Be 0.0000 0.0000 0.0532 1
Be2 Be 0.0000 0.0000 0.2552 1
Be3 Be 0.0301 0.3585 0.8222 1
Be4 Be 0.1685 0.3369 0.6391 1
Be5 Be 0.1716 0.3431 0.9924 1
Be6 Be 0.1740 0.3480 0.3333 1
V1 V 0.0000 0.0000 0.4911 1
Co1 Co 0.0000 0.0000 0.8275 1
```

Computed properties:
E_form (eV per atom): -0.1057
N(E_F) (states/eV/f.u.): 4.18
Uncorrected energy (eV/atom): -4.294

=====

19.
## BeV6Co12 (PBE-GGA)

Data for a relaxed structure of BeV6Co12.

The structure in CIF format:
```
data_BeV6Co12
_cell_length_a 8.5425
_cell_length_b 8.5425
_cell_length_c 10.2422
_cell_angle_alpha 90.00
_cell_angle_beta 90.00
_cell_angle_gamma 120.00
_symmetry_space_group_name_H-M 'R -3'
_symmetry_Int_Tables_number 148
_symmetry_space_group_name_Hall '-R 3'
loop_
_atom_site_label
_atom_site_type_symbol
_atom_site_fract_x
_atom_site_fract_y
_atom_site_fract_z
_atom_site_occupancy
Be1 Be 0.0000 0.0000 0.0000 1
V1 V 0.0215 0.6006 0.7156 1
Co1 Co 0.0291 0.8492 0.8281 1
Co2 Co 0.0532 0.1984 0.4074 1
```

Computed properties:
E_form (eV per atom): -0.0154
N(E_F) (states/eV/f.u.): 23.49
Uncorrected energy (eV/atom): -7.579

=====

20.
## BeVCo3 (PBE-GGA)

Data for a relaxed structure of BeVCo3.

The structure in CIF format:
```
data_BeVCo3
_cell_length_a 3.802
_cell_length_b 3.802
_cell_length_c 3.802
_cell_angle_alpha 90.00
_cell_angle_beta 90.00
_cell_angle_gamma 90.00
_symmetry_space_group_name_H-M 'P m -3 m'
_symmetry_Int_Tables_number 221
_symmetry_space_group_name_Hall '-P 4 2 3'
loop_
_atom_site_label
_atom_site_type_symbol
_atom_site_fract_x
_atom_site_fract_y
_atom_site_fract_z
_atom_site_occupancy
Be1 Be 0.000 0.000 0.000 1
V1 V 0.500 0.500 0.500 1
Co1 Co 0.000 0.000 0.500 1
```

Computed properties:
E_form (eV per atom): 0.3271
N(E_F) (states/eV/f.u.): 4.89
Uncorrected energy (eV/atom): -6.505